1.
DFT (PBE) results for a relaxed POsC2S crystal.

Output
E_form (uncorrected), kJ/mol of atoms: 178
Raw total energy, eV per atom: -5.9984
V, Å³ per cell: 64.4
Symmetry: P4/mmm, No. 123

Cell lengths 3.4330, 3.4330, 5.4673 Å; angles 90.00, 90.00, 90.00 degrees
Last column: nearest neighbours and their distance in Å.
Fractional positions:
P1 0.0000 0.0000 0.0000  4 C 1.72
Os1 0.0000 0.0000 0.5000  4 S 2.43
C1 0.0000 0.5000 0.0000  2 P 1.72
C2 0.5000 0.0000 0.0000  2 P 1.72
S1 0.5000 0.5000 0.5000  4 Os 2.43

2.
DFT (PBE) results for a relaxed BeRuCl2 crystal.

Output
E_form (uncorrected), kJ/mol of atoms: 93
Raw total energy, eV per atom: -3.2064
ΔE to the lowest computed polymorph, eV per atom: 1.204
V, Å³ per cell: 65.3
Symmetry: F-43m, No. 216

Cell lengths 4.5199, 4.5199, 4.5199 Å; angles 60.00, 60.00, 60.00 degrees
Last column: nearest neighbours and their distance in Å.
Fractional positions:
Be1 0.0000 0.0000 0.0000  4 Cl 2.77, 4 Ru 2.77
Ru1 0.7500 0.7500 0.7500  4 Cl 2.77, 4 Be 2.77
Cl1 0.2500 0.2500 0.2500  4 Cl 2.77, 4 Be 2.77
Cl2 0.5000 0.5000 0.5000  4 Cl 2.77, 4 Ru 2.77

3.
DFT (PBE) results for a relaxed TaMo2Pd4 crystal.

Output
Energy of formation from the pure elements, meV per atom: 1002
Raw total energy, eV per atom: -6.7528
V, Å³ per cell: 152.4
Symmetry: I4/mmm, No. 139

Cell lengths 7.1392, 7.1392, 7.1392 Å; angles 139.43, 139.43, 58.71 degrees
Last column: nearest neighbours and their distance in Å.
Fractional positions:
Ta1 0.0000 0.0000 0.0000  6 Pd 2.46-2.47
Mo1 0.4092 0.4092 0.0000  1 Mo 2.26
Mo2 0.5908 0.5908 0.0000  1 Mo 2.26
Pd1 0.0000 0.5000 0.5000  2 Ta 2.47, 4 Mo 2.72
Pd2 0.1978 0.1978 0.0000  1 Ta 2.46, 1 Mo 2.63
Pd3 0.5000 0.0000 0.5000  2 Ta 2.47, 4 Mo 2.72
Pd4 0.8022 0.8022 0.0000  1 Ta 2.46, 1 Mo 2.63

4.
DFT (PBE) results for a relaxed Mg2IrBr crystal.

Output
E_form (uncorrected), kJ/mol of atoms: -20
Raw total energy, eV per atom: -3.6361
ΔE to the lowest computed polymorph, eV per atom: 0.332
V, Å³ per cell: 93.4
Symmetry: Pmm2, No. 25

Cell lengths 3.3992, 3.8330, 7.1665 Å; angles 90.00, 90.00, 90.00 degrees
Last column: nearest neighbours and their distance in Å.
Fractional positions:
Mg1 0.0000 0.0000 0.0000  4 Ir 2.59
Mg2 0.5000 0.5000 0.2968  1 Ir 2.49
Ir1 0.5000 0.5000 0.9496  5 Mg 2.49-2.59
Br1 0.0000 0.0000 0.4733  4 Mg 2.86

5.
DFT (PBE) results for a relaxed Dy2YCu4 crystal.

Output
Energy of formation from the pure elements, meV per atom: -14
Raw total energy, eV per atom: -4.5933
V, Å³ per cell: 149.6
Symmetry: I4/mmm, No. 139

Cell lengths 6.7755, 6.7755, 6.7755 Å; angles 135.71, 135.71, 64.42 degrees
Last column: nearest neighbours and their distance in Å.
Fractional positions:
Dy1 0.2115 0.2115 0.0000  4 Cu 2.76
Dy2 0.7885 0.7885 0.0000  4 Cu 2.76
Y1 0.5000 0.5000 0.0000  8 Cu 2.90
Cu1 0.1190 0.6190 0.5000  2 Cu 2.73-3.00, 2 Dy 2.76, 2 Y 2.90
Cu2 0.3810 0.8810 0.5000  2 Cu 2.73-3.00, 2 Dy 2.76, 2 Y 2.90
Cu3 0.6190 0.1190 0.5000  2 Cu 2.73-3.00, 2 Dy 2.76, 2 Y 2.90
Cu4 0.8810 0.3810 0.5000  2 Cu 2.73-3.00, 2 Dy 2.76, 2 Y 2.90

6.
DFT (PBE) results for a relaxed Tb3Nd4Sc2 crystal.

Output
Energy of formation from the pure elements, meV per atom: 95
Raw total energy, eV per atom: -4.9748
ΔE to the lowest computed polymorph, eV per atom: 0.003
V, Å³ per cell: 288.9
Symmetry: P3m1, No. 156

Cell lengths 3.5626, 3.5626, 26.2820 Å; angles 90.00, 90.00, 120.00 degrees
Last column: nearest neighbours and their distance in Å.
Fractional positions:
Tb1 0.0000 0.0000 0.0000  6 Sc 3.35-3.38, 6 Tb 3.56
Tb2 0.0000 0.0000 0.3353  6 Nd 3.55-3.63, 6 Tb 3.56
Tb3 0.6667 0.3333 0.6796  6 Tb 3.56, 6 Nd 3.59-3.64
Nd1 0.0000 0.0000 0.5676  9 Nd 3.56-3.73, 3 Tb 3.59
Nd2 0.0000 0.0000 0.7937  3 Sc 3.43, 6 Nd 3.56, 3 Tb 3.64
Nd3 0.6667 0.3333 0.2253  1 Sc 3.28, 3 Tb 3.55, 6 Nd 3.56
Nd4 0.6667 0.3333 0.4492  9 Nd 3.56-3.73, 3 Tb 3.63
Sc1 0.6667 0.3333 0.1005  1 Nd 3.28, 3 Tb 3.35, 6 Sc 3.56
Sc2 0.6667 0.3333 0.8982  3 Tb 3.38, 3 Nd 3.43, 6 Sc 3.56

7.
DFT (PBE) results for a relaxed NbFe3Ni crystal.

Output
Energy of formation from the pure elements, meV per atom: 932
Raw total energy, eV per atom: -7.3156
ΔE to the lowest computed polymorph, eV per atom: 0.000
V, Å³ per cell: 78.2
Symmetry: Pm-3m, No. 221

Cell lengths 4.2769, 4.2769, 4.2769 Å; angles 90.00, 90.00, 90.00 degrees
Last column: nearest neighbours and their distance in Å.
Fractional positions:
Nb1 0.0000 0.0000 0.0000  12 Fe 3.02
Fe1 0.0000 0.5000 0.5000  2 Ni 2.14
Fe2 0.5000 0.0000 0.5000  2 Ni 2.14
Fe3 0.5000 0.5000 0.0000  2 Ni 2.14
Ni1 0.5000 0.5000 0.5000  6 Fe 2.14

8.
DFT (PBE) results for a relaxed Cs8Cl3O2F crystal.

Output
E_form (uncorrected), kJ/mol of atoms: -151
Raw total energy, eV per atom: -3.2872
V, Å³ per cell: 595.8
Symmetry: P-3m1, No. 164

Cell lengths 8.1833, 8.1833, 10.2733 Å; angles 90.00, 90.00, 120.00 degrees
Last column: nearest neighbours and their distance in Å.
Fractional positions:
Cs1 0.1669 0.3339 0.3126  1 O 2.70
Cs2 0.1669 0.8331 0.3126  1 O 2.70
Cs3 0.3333 0.6667 0.9355  1 O 2.56
Cs4 0.3339 0.1669 0.6874  1 O 2.70
Cs5 0.6661 0.8331 0.3126  1 O 2.70
Cs6 0.6667 0.3333 0.0645  1 O 2.56
Cs7 0.8331 0.1669 0.6874  1 O 2.70
Cs8 0.8331 0.6661 0.6874  1 O 2.70
Cl1 0.0000 0.0000 0.0000  6 Cs 3.99
Cl2 0.3333 0.6667 0.5896  4 Cs 3.55-3.70
Cl3 0.6667 0.3333 0.4104  4 Cs 3.55-3.70
O1 0.3333 0.6667 0.1842  4 Cs 2.56-2.70
O2 0.6667 0.3333 0.8158  4 Cs 2.56-2.70
F1 0.0000 0.0000 0.5000  6 Cs 3.05

Question: What is the formula in the eighth record?
Answer: Cs8Cl3O2F